Record 1
First-principles (PBE) data for an optimized crystal structure of ScCoPt3, as listed in Alexandria via LeMat-Bulk.

Output
As for the volume: 96 Å³/cell. Its total DFT energy (no corrections) is -30.6 eV per cell. The calculation puts the total moment at 2.54 μB/cell. The calculation puts the density of states at the Fermi level at 4.844 states/eV per cell. The density comes out at 11.961 g/cm³. The distance to the lowest polymorph of the same formula comes out at 0 meV/atom. The formation energy from the elements comes out at 18.7 kJ per mole of atoms.

Unit cell a=4.5736 b=4.5736 c=4.5736 alpha=90.00 beta=90.00 gamma=90.00
With the nearest neighbours (Å) after each atom.
Positions (direct):
Sc1 0.5000 0.5000 0.5000  12 Pt 3.23
Co1 0.0000 0.0000 0.0000  6 Pt 2.29
Pt1 0.0000 0.5000 0.0000  2 Co 2.29
Pt2 0.0000 0.0000 0.5000  2 Co 2.29
Pt3 0.5000 0.0000 0.0000  2 Co 2.29

=====

Record 2
First-principles (PBE) data for an optimized crystal structure of KNa2AlF6, as listed in Alexandria via LeMat-Bulk.

Output
As for the volume: 280 Å³/cell. Its total DFT energy (no corrections) is -100.1 eV per cell. For the raw formation energy, the calculation gives -3.136 eV per atom. The calculation puts the total moment at 0.25 μB/cell. The calculation puts the density of states at the Fermi level at 0.000 states/eV per cell. The density comes out at 2.680 g/cm³. The distance to the lowest polymorph of the same formula comes out at 0 meV/atom.

Unit cell a=5.6282 b=6.0260 c=8.2610 alpha=90.00 beta=89.22 gamma=90.00
With the nearest neighbours (Å) after each atom.
Positions (direct):
K1 0.5000 0.0000 0.0000  4 F 2.48-2.78
K2 0.0000 0.5000 0.5000  4 F 2.48-2.78
Na1 0.0004 0.9743 0.2819  5 F 2.29-2.41
Na2 0.5004 0.5257 0.7819  5 F 2.29-2.41
Na3 0.9996 0.0257 0.7181  5 F 2.29-2.41
Na4 0.4996 0.4743 0.2181  5 F 2.29-2.41
Al1 0.5000 0.0000 0.5000  6 F 1.81-1.86
Al2 0.0000 0.5000 0.0000  6 F 1.81-1.86
F1 0.2820 0.6423 0.0203  1 Al 1.81
F2 0.7820 0.8577 0.5203  1 Al 1.81
F3 0.7180 0.3577 0.9797  1 Al 1.81
F4 0.2180 0.1423 0.4797  1 Al 1.81
F5 0.3740 0.7657 0.3825  1 Al 1.86
F6 0.8740 0.7343 0.8825  1 Al 1.86
F7 0.6260 0.2343 0.6175  1 Al 1.86
F8 0.1260 0.2657 0.1175  1 Al 1.86
F9 0.8851 0.6298 0.1884  1 Al 1.85
F10 0.3851 0.8702 0.6884  1 Al 1.85
F11 0.1149 0.3702 0.8116  1 Al 1.85
F12 0.6149 0.1298 0.3116  1 Al 1.85

=====

Record 3
First-principles (PBE) data for an optimized crystal structure of Pu2MgP3Pt4, as listed in Alexandria via LeMat-Bulk.

Output
As for the volume: 178 Å³/cell. Its total DFT energy (no corrections) is -78.3 eV per cell. The calculation puts the total moment at 10.26 μB/cell. The calculation puts the density of states at the Fermi level at 26.813 states/eV per cell. The density comes out at 12.922 g/cm³. The formation energy from the elements comes out at -73.4 kJ per mole of atoms.

Unit cell a=4.0196 b=4.0196 c=11.0200 alpha=90.00 beta=90.00 gamma=90.00
With the nearest neighbours (Å) after each atom.
Positions (direct):
Pu1 0.5000 0.0000 0.2282  4 P 3.00, 8 Pt 3.16-3.22
Pu2 0.0000 0.5000 0.7718  4 P 3.00, 8 Pt 3.16-3.22
Mg1 0.5000 0.5000 0.5000  4 Pt 2.57, 4 P 2.84
P1 0.0000 0.0000 0.5000  4 Pt 2.57, 4 Mg 2.84
P2 0.5000 0.0000 0.8586  5 Pt 2.34-2.54
P3 0.0000 0.5000 0.1414  5 Pt 2.34-2.54
Pt1 0.5000 0.5000 0.0000  4 P 2.54, 4 Pt 2.84
Pt2 0.0000 0.0000 0.0000  4 P 2.54, 4 Pt 2.84
Pt3 0.5000 0.0000 0.6459  3 P 2.34-2.57, 2 Mg 2.57
Pt4 0.0000 0.5000 0.3541  3 P 2.34-2.57, 2 Mg 2.57

=====

Record 4
First-principles (PBE) data for an optimized crystal structure of Y2Th3C4, as listed in Alexandria via LeMat-Bulk.

Output
As for the volume: 184 Å³/cell. Its total DFT energy (no corrections) is -74.6 eV per cell. The calculation puts the total moment at 0.00 μB/cell. The calculation puts the density of states at the Fermi level at 5.321 states/eV per cell. The density comes out at 8.313 g/cm³. The formation energy from the elements comes out at -27.4 kJ per mole of atoms.

Unit cell a=3.7476 b=6.5182 c=8.2202 alpha=76.43 beta=76.82 gamma=73.29
With the nearest neighbours (Å) after each atom.
Positions (direct):
Y1 0.6132 0.1619 0.6117  4 C 2.49-2.71
Y2 0.3868 0.8381 0.3883  4 C 2.49-2.71
Th1 0.0000 0.0000 0.0000  6 C 2.62-2.69
Th2 0.1982 0.4039 0.1998  5 C 2.50-2.70
Th3 0.8018 0.5961 0.8002  5 C 2.50-2.70
C1 0.7984 0.0986 0.3045  3 Y 2.49-2.56, 3 Th 2.62-2.70
C2 0.2016 0.9014 0.6955  3 Y 2.49-2.56, 3 Th 2.62-2.70
C3 0.3908 0.3086 0.9099  5 Th 2.50-2.69, 1 Y 2.71
C4 0.6092 0.6914 0.0901  5 Th 2.50-2.69, 1 Y 2.71

=====

Record 5
First-principles (PBE) data for an optimized crystal structure of YMg2Cu, as listed in Alexandria via LeMat-Bulk.

Output
As for the volume: 699 Å³/cell. Its total DFT energy (no corrections) is -115.5 eV per cell. The calculation puts the total moment at 0.00 μB/cell. The calculation puts the density of states at the Fermi level at 19.608 states/eV per cell. The density comes out at 3.822 g/cm³. The formation energy from the elements comes out at -16.5 kJ per mole of atoms.

Unit cell a=5.5226 b=8.1853 c=15.4611 alpha=90.00 beta=90.00 gamma=90.00
With the nearest neighbours (Å) after each atom.
Positions (direct):
Y1 0.4531 0.2500 0.1368  3 Cu 2.94-2.96
Y2 0.9531 0.7500 0.3632  3 Cu 2.94-2.96
Y3 0.5469 0.7500 0.8632  3 Cu 2.94-2.96
Y4 0.0469 0.2500 0.6368  3 Cu 2.94-2.96
Y5 0.7617 0.2500 0.3940  3 Cu 2.93-3.04
Y6 0.2617 0.7500 0.1060  3 Cu 2.93-3.04
Y7 0.2383 0.7500 0.6060  3 Cu 2.93-3.04
Y8 0.7383 0.2500 0.8940  3 Cu 2.93-3.04
Mg1 0.9672 0.0547 0.2145  3 Cu 2.77-2.78, 1 Mg 3.09
Mg2 0.4672 0.9453 0.2855  3 Cu 2.77-2.78, 1 Mg 3.09
Mg3 0.0328 0.5547 0.7855  3 Cu 2.77-2.78, 1 Mg 3.09
Mg4 0.5328 0.4453 0.7145  3 Cu 2.77-2.78, 1 Mg 3.09
Mg5 0.0328 0.9453 0.7855  3 Cu 2.77-2.78, 1 Mg 3.09
Mg6 0.5328 0.0547 0.7145  3 Cu 2.77-2.78, 1 Mg 3.09
Mg7 0.9672 0.4453 0.2145  3 Cu 2.77-2.78, 1 Mg 3.09
Mg8 0.4672 0.5547 0.2855  3 Cu 2.77-2.78, 1 Mg 3.09
Mg9 0.7563 0.5541 0.0385  3 Cu 2.75-2.80, 1 Mg 3.07
Mg10 0.2563 0.4459 0.4615  3 Cu 2.75-2.80, 1 Mg 3.07
Mg11 0.2437 0.0541 0.9615  3 Cu 2.75-2.80, 1 Mg 3.07
Mg12 0.7437 0.9459 0.5385  3 Cu 2.75-2.80, 1 Mg 3.07
Mg13 0.2437 0.4459 0.9615  3 Cu 2.75-2.80, 1 Mg 3.07
Mg14 0.7437 0.5541 0.5385  3 Cu 2.75-2.80, 1 Mg 3.07
Mg15 0.7563 0.9459 0.0385  3 Cu 2.75-2.80, 1 Mg 3.07
Mg16 0.2563 0.0541 0.4615  3 Cu 2.75-2.80, 1 Mg 3.07
Cu1 0.2669 0.2500 0.3151  6 Mg 2.77-2.78, 3 Y 2.94-3.04
Cu2 0.7669 0.7500 0.1849  6 Mg 2.77-2.78, 3 Y 2.94-3.04
Cu3 0.7331 0.7500 0.6849  6 Mg 2.77-2.78, 3 Y 2.94-3.04
Cu4 0.2331 0.2500 0.8151  6 Mg 2.77-2.78, 3 Y 2.94-3.04
Cu5 0.9524 0.2500 0.0676  6 Mg 2.75-2.80, 3 Y 2.93-2.96
Cu6 0.4524 0.7500 0.4324  6 Mg 2.75-2.80, 3 Y 2.93-2.96
Cu7 0.0476 0.7500 0.9324  6 Mg 2.75-2.80, 3 Y 2.93-2.96
Cu8 0.5476 0.2500 0.5676  6 Mg 2.75-2.80, 3 Y 2.93-2.96

=====

Record 6
First-principles (PBE) data for an optimized crystal structure of Au3O, as listed in Alexandria via LeMat-Bulk.

Output
As for the volume: 142 Å³/cell. Its total DFT energy (no corrections) is -26.6 eV per cell. For the raw formation energy, the calculation gives 0.374 eV per atom. The calculation puts the total moment at 0.00 μB/cell. The calculation puts the density of states at the Fermi level at 4.275 states/eV per cell. The density comes out at 14.198 g/cm³.

Unit cell a=7.4685 b=7.4685 c=2.9387 alpha=90.00 beta=90.00 gamma=120.00
With the nearest neighbours (Å) after each atom.
Positions (direct):
Au1 0.8134 0.1866 0.7500  2 O 2.40
Au2 0.3732 0.1866 0.7500  2 O 2.40
Au3 0.8134 0.6268 0.7500  2 O 2.40
Au4 0.1866 0.8134 0.2500  2 O 2.40
Au5 0.6268 0.8134 0.2500  2 O 2.40
Au6 0.1866 0.3732 0.2500  2 O 2.40
O1 0.6667 0.3333 0.2500  6 Au 2.40
O2 0.3333 0.6667 0.7500  6 Au 2.40

=====

Record 7
First-principles (PBE) data for an optimized crystal structure of KTaIr2, as listed in Alexandria via LeMat-Bulk.

Output
As for the volume: 75 Å³/cell. Its total DFT energy (no corrections) is -28.0 eV per cell. The calculation puts the total moment at 0.00 μB/cell. The calculation puts the density of states at the Fermi level at 6.329 states/eV per cell. The density comes out at 13.422 g/cm³. The distance to the lowest polymorph of the same formula comes out at 693 meV/atom. The formation energy from the elements comes out at 63.5 kJ per mole of atoms.

Unit cell a=2.8117 b=2.8117 c=10.7412 alpha=90.00 beta=90.00 gamma=118.27
With the nearest neighbours (Å) after each atom.
Positions (direct):
Ir1 0.0000 0.0000 0.0031  2 Ta 2.68, 8 Ir 2.77-2.88
Ir2 0.5000 0.5000 0.2231  8 Ir 2.77-2.88
K1 0.0000 0.0000 0.4810  6 K 2.81-2.88, 2 Ir 3.12
Ta1 0.5000 0.5000 0.7929  2 Ir 2.68, 6 Ta 2.81-2.88

=====

Record 8
First-principles (PBE) data for an optimized crystal structure of Ti4In, as listed in Alexandria via LeMat-Bulk.

Output
As for the volume: 123 Å³/cell. Its total DFT energy (no corrections) is -27.8 eV per cell. The calculation puts the total moment at 3.47 μB/cell. The calculation puts the density of states at the Fermi level at 7.772 states/eV per cell. The density comes out at 4.121 g/cm³. The distance to the lowest polymorph of the same formula comes out at 1372 meV/atom. The formation energy from the elements comes out at 126.3 kJ per mole of atoms.

Unit cell a=4.9787 b=4.9787 c=4.9787 alpha=90.00 beta=90.00 gamma=90.00
With the nearest neighbours (Å) after each atom.
Positions (direct):
Ti1 0.0000 0.0000 0.0000  12 Ti 3.52
Ti2 0.5000 0.0000 0.5000  2 In 2.49
Ti3 0.0000 0.5000 0.5000  2 In 2.49
Ti4 0.5000 0.5000 0.0000  2 In 2.49
In1 0.5000 0.5000 0.5000  6 Ti 2.49

=====

Record 9
First-principles (PBE) data for an optimized crystal structure of CoTeMo2, as listed in Alexandria via LeMat-Bulk.

Output
As for the volume: 64 Å³/cell. Its total DFT energy (no corrections) is -30.5 eV per cell. For the raw formation energy, the calculation gives 0.354 eV per atom. The calculation puts the total moment at 0.00 μB/cell. The calculation puts the density of states at the Fermi level at 3.382 states/eV per cell. The density comes out at 9.783 g/cm³.

Unit cell a=4.9249 b=4.9249 c=4.3394 alpha=78.83 beta=78.83 gamma=38.57
With the nearest neighbours (Å) after each atom.
Positions (direct):
Co1 0.2500 0.2500 0.2500  4 Te 2.71, 6 Mo 2.74-2.80
Mo1 0.9949 0.9949 0.0277  2 Mo 2.54, 3 Co 2.74-2.80, 1 Te 2.79
Mo2 0.5051 0.5051 0.4723  2 Mo 2.54, 3 Co 2.74-2.80, 1 Te 2.79
Te1 0.7500 0.7500 0.7500  4 Co 2.71, 6 Mo 2.79-2.92

=====

Record 10
First-principles (PBE) data for an optimized crystal structure of LiDyMg3, as listed in Alexandria via LeMat-Bulk.

Output
As for the volume: 240 Å³/cell. Its total DFT energy (no corrections) is -22.6 eV per cell. The calculation puts the total moment at 0.00 μB/cell. The calculation puts the density of states at the Fermi level at 5.969 states/eV per cell. The density comes out at 3.359 g/cm³. The distance to the lowest polymorph of the same formula comes out at 0 meV/atom. The formation energy from the elements comes out at -0.1 kJ per mole of atoms.

Unit cell a=5.4152 b=5.0041 c=10.2112 alpha=104.18 beta=115.86 gamma=90.00
With the nearest neighbours (Å) after each atom.
Positions (direct):
Li1 0.1957 0.1740 0.3480  8 Mg 2.87-3.06
Li2 0.8043 0.8260 0.6520  8 Mg 2.87-3.06
Dy1 0.1573 0.4362 0.8724  7 Mg 3.17-3.55, 2 Li 3.31, 1 Dy 3.42
Dy2 0.8427 0.5638 0.1276  7 Mg 3.17-3.55, 2 Li 3.31, 1 Dy 3.42
Mg1 0.6333 0.9438 0.8876  1 Li 2.87, 3 Mg 3.11-3.15
Mg2 0.3667 0.0562 0.1124  1 Li 2.87, 3 Mg 3.11-3.15
Mg3 0.4957 0.6600 0.3201  3 Li 2.94-3.06, 6 Mg 3.08-3.29, 2 Dy 3.17-3.22
Mg4 0.5043 0.3400 0.6799  3 Li 2.94-3.06, 6 Mg 3.08-3.29, 2 Dy 3.17-3.22
Mg5 0.1725 0.7578 0.5156  4 Li 2.87-3.06, 5 Mg 3.05-3.14
Mg6 0.8275 0.2422 0.4844  4 Li 2.87-3.06, 5 Mg 3.05-3.14

=====

Record 11
First-principles (PBE) data for an optimized crystal structure of Mn2Al2Fe5, as listed in Alexandria via LeMat-Bulk.

Output
As for the volume: 108 Å³/cell. Its total DFT energy (no corrections) is -68.1 eV per cell. The calculation puts the total moment at 8.25 μB/cell. The calculation puts the density of states at the Fermi level at 8.758 states/eV per cell. The density comes out at 6.814 g/cm³. The formation energy from the elements comes out at 0.3 kJ per mole of atoms.

Unit cell a=2.6183 b=6.3137 c=9.2002 alpha=133.61 beta=98.17 gamma=90.01
With the nearest neighbours (Å) after each atom.
Positions (direct):
Mn1 0.8173 0.5912 0.6346  2 Mn 2.26, 4 Fe 2.37-2.52
Mn2 0.1827 0.4088 0.3654  2 Mn 2.26, 4 Fe 2.37-2.52
Al1 0.6052 0.9224 0.2105  8 Fe 2.54-2.64, 2 Al 2.62, 2 Mn 2.66
Al2 0.3948 0.0776 0.7895  8 Fe 2.54-2.64, 2 Al 2.62, 2 Mn 2.66
Fe1 0.7304 0.8025 0.4608  2 Mn 2.37, 6 Fe 2.44-2.62, 2 Al 2.54
Fe2 0.2696 0.1975 0.5392  2 Mn 2.37, 6 Fe 2.44-2.62, 2 Al 2.54
Fe3 0.9331 0.5047 0.8662  6 Fe 2.44-2.62, 1 Mn 2.52, 4 Al 2.62-2.64
Fe4 0.0669 0.4953 0.1338  6 Fe 2.44-2.62, 1 Mn 2.52, 4 Al 2.62-2.64
Fe5 0.0000 0.0000 0.0000  2 Mn 2.40, 4 Fe 2.44-2.62, 4 Al 2.63

=====

Record 12
First-principles (PBE) data for an optimized crystal structure of AlInGe3, as listed in Alexandria via LeMat-Bulk.

Output
As for the volume: 145 Å³/cell. Its total DFT energy (no corrections) is -15.3 eV per cell. The calculation puts the total moment at 0.00 μB/cell. The calculation puts the density of states at the Fermi level at 4.066 states/eV per cell. The density comes out at 4.132 g/cm³. The distance to the lowest polymorph of the same formula comes out at 516 meV/atom. The formation energy from the elements comes out at 97.3 kJ per mole of atoms.

Unit cell a=5.2483 b=5.2483 c=5.2483 alpha=90.00 beta=90.00 gamma=90.00
With the nearest neighbours (Å) after each atom.
Positions (direct):
Ge1 0.0000 0.5000 0.0000  2 In 2.62
Ge2 0.0000 0.0000 0.5000  2 In 2.62
Ge3 0.5000 0.0000 0.0000  2 In 2.62
Al1 0.5000 0.5000 0.5000  12 Ge 3.71
In1 0.0000 0.0000 0.0000  6 Ge 2.62